No. 1
Material: RbTl8Cd4
Method: DFT, PBE
State: relaxed

a b c (Å): 6.0338 8.6194 8.6194
angles (deg): 82.96 69.51 69.51
Closest atoms and distances in Å follow each position.
Fractional positions:
Cd  0.5000  0.0000  0.5000  2 Cd 3.02, 4 Tl 3.26
Cd  0.5000  0.5000  0.0000  2 Cd 3.02, 4 Tl 3.26
Cd  0.0000  0.0000  0.5000  2 Cd 3.02, 4 Tl 3.26
Cd  0.0000  0.5000  0.0000  2 Cd 3.02, 4 Tl 3.26
Tl  0.5000  0.2134  0.7866  4 Cd 3.26, 4 Tl 3.43-3.45
Tl  0.5000  0.7866  0.2134  4 Cd 3.26, 4 Tl 3.43-3.45
Tl  0.6438  0.3562  0.3562  5 Tl 3.28-3.66, 4 Cd 3.45
Tl  0.2866  0.2134  0.2134  4 Cd 3.26, 4 Tl 3.43-3.45
Tl  0.7134  0.7866  0.7866  4 Cd 3.26, 4 Tl 3.43-3.45
Tl  0.3562  0.6438  0.6438  5 Tl 3.28-3.66, 4 Cd 3.45
Tl  0.0000  0.6438  0.3562  5 Tl 3.28-3.66, 4 Cd 3.45
Tl  0.0000  0.3562  0.6438  5 Tl 3.28-3.66, 4 Cd 3.45
Rb  0.0000  0.0000  0.0000  12 Tl 3.88-4.07, 8 Cd 4.31

For the energy of formation, the calculation gives -0.02 eV per atom. The value obtained for the size of the total moment is 0.00 μB/f.u.

***

No. 2
Material: Rb2TlCd7
Method: DFT, PBE
State: relaxed

a b c (Å): 5.0635 5.0635 12.4264
angles (deg): 90.00 90.00 90.00
Closest atoms and distances in Å follow each position.
Fractional positions:
Cd  0.5000  0.5000  0.5000  4 Cd 2.99
Cd  0.0000  0.5000  0.8624  3 Cd 2.92-3.05, 2 Tl 3.05
Cd  0.0000  0.5000  0.6274  5 Cd 2.92-2.99
Cd  0.5000  0.0000  0.1376  3 Cd 2.92-3.05, 2 Tl 3.05
Cd  0.5000  0.0000  0.3726  5 Cd 2.92-2.99
Cd  0.0000  0.0000  0.0000  4 Cd 3.05
Cd  0.0000  0.0000  0.5000  4 Cd 2.99
Rb  0.5000  0.0000  0.7474  14 Cd 3.86-4.03, 2 Tl 4.03
Rb  0.0000  0.5000  0.2526  14 Cd 3.86-4.03, 2 Tl 4.03
Tl  0.5000  0.5000  0.0000  4 Cd 3.05

For the energy of formation, the calculation gives -0.05 eV per atom. The value obtained for the size of the total moment is 0.00 μB/f.u.

***

No. 3
Material: RbTl5Cd
Method: DFT, PBE
State: relaxed

a b c (Å): 4.7664 4.7664 10.9129
angles (deg): 90.00 90.00 90.00
Closest atoms and distances in Å follow each position.
Fractional positions:
Tl  0.0000  0.5000  0.7804  6 Tl 3.37-3.38, 2 Cd 3.38
Tl  0.5000  0.0000  0.7804  6 Tl 3.37-3.38, 2 Cd 3.38
Tl  0.0000  0.5000  0.2196  6 Tl 3.37-3.38, 2 Cd 3.38
Tl  0.0000  0.0000  0.0000  4 Cd 3.37, 8 Tl 3.38
Tl  0.5000  0.0000  0.2196  6 Tl 3.37-3.38, 2 Cd 3.38
Cd  0.5000  0.5000  0.0000  12 Tl 3.37-3.38
Rb  0.0000  0.0000  0.5000  8 Tl 3.88

For the energy of formation, the calculation gives -0.02 eV per atom. The value obtained for the size of the total moment is 0.00 μB/f.u.

***

| no. | E_tot (eV/f.u.) |
| --- | --- |
| 1 | -23.789 |
| 2 | -11.177 |
| 3 | -13.830 |